Below is a geometry-optimized MoPSe2 structure, with properties calculated at the PBE level.

Properties
**Uncorrected energy**: -5.251 eV/atom

Unit cell a=4.625 b=4.625 c=3.139 alpha=90.00 beta=90.00 gamma=90.00
Positions (direct):
1 Mo 0.000 0.000 0.000
2 P 0.500 0.500 0.000
3 Se 0.000 0.500 0.500
4 Se 0.500 0.000 0.500

=====

Below is a geometry-optimized MoPSe2 structure, with properties calculated at the PBE level.

Properties
**Uncorrected energy**: -5.862 eV/atom

Unit cell a=3.213 b=3.213 c=7.512 alpha=90.00 beta=90.00 gamma=90.00
Positions (direct):
1 Mo 0.000 0.000 0.000
2 P 0.500 0.500 0.167
3 Se 0.000 0.000 0.349
4 Se 0.500 0.500 0.795

=====

Below is a geometry-optimized MoPSe2 structure, with properties calculated at the PBE level.

Properties
**Uncorrected energy**: -5.646 eV/atom

Unit cell a=8.457 b=8.457 c=8.457 alpha=21.79 beta=21.79 gamma=21.79
Positions (direct):
1 Mo 0.000 0.000 0.000
2 P 0.500 0.500 0.500
3 Se 0.261 0.261 0.261
4 Se 0.739 0.739 0.739

=====

Below is a geometry-optimized MoP2Se structure, with properties calculated at the PBE level.

Properties
**Uncorrected energy**: -6.347 eV/atom

Unit cell a=9.037 b=9.037 c=9.037 alpha=19.79 beta=19.79 gamma=19.79
Positions (direct):
1 Mo 0.000 0.000 0.000
2 P 0.464 0.464 0.464
3 P 0.741 0.741 0.741
4 Se 0.268 0.268 0.268

=====

Below is a geometry-optimized MoPSe2 structure, with properties calculated at the PBE level.

Properties
**Uncorrected energy**: -5.831 eV/atom

Unit cell a=4.684 b=3.514 c=5.496 alpha=90.00 beta=114.70 gamma=90.00
Positions (direct):
1 Mo 0.000 0.000 0.000
2 P 0.500 0.000 0.000
3 Se 0.189 0.500 0.380
4 Se 0.811 0.500 0.620

=====

Below is a geometry-optimized MoP4Se structure, with properties calculated at the PBE level.

Properties
**Uncorrected energy**: -5.149 eV/atom

Unit cell a=5.086 b=5.086 c=5.086 alpha=60.00 beta=60.00 gamma=60.00
Positions (direct):
1 Mo 0.000 0.000 0.000
2 P 0.135 0.622 0.622
3 P 0.622 0.135 0.622
4 P 0.622 0.622 0.135
5 P 0.622 0.622 0.622
6 Se 0.250 0.250 0.250

=====

Below is a geometry-optimized MoPSe2 structure, with properties calculated at the PBE level.

Properties
**Uncorrected energy**: -5.893 eV/atom

Unit cell a=9.129 b=9.129 c=9.129 alpha=20.02 beta=20.02 gamma=20.02
Positions (direct):
1 Mo 0.000 0.000 0.000
2 P 0.730 0.730 0.730
3 Se 0.268 0.268 0.268
4 Se 0.469 0.469 0.469

=====

Below is a geometry-optimized MoPSe2 structure, with properties calculated at the PBE level.

Properties
**Uncorrected energy**: -5.541 eV/atom

Unit cell a=3.124 b=3.124 c=7.098 alpha=90.00 beta=90.00 gamma=90.00
Positions (direct):
1 Mo 0.000 0.000 0.000
2 P 0.000 0.000 0.500
3 Se 0.500 0.500 0.217
4 Se 0.500 0.500 0.783

=====

Below is a geometry-optimized MoP2Se structure, with properties calculated at the PBE level.

Properties
**Uncorrected energy**: -5.772 eV/atom

Unit cell a=4.732 b=4.732 c=4.732 alpha=129.63 beta=129.63 gamma=74.00
Positions (direct):
1 Mo 0.000 0.000 0.000
2 P 0.250 0.750 0.500
3 P 0.750 0.250 0.500
4 Se 0.500 0.500 0.000

=====

Below is a geometry-optimized MoP2Se structure, with properties calculated at the PBE level.

Properties
**Uncorrected energy**: -6.379 eV/atom

Unit cell a=3.104 b=3.104 c=7.313 alpha=90.00 beta=90.00 gamma=90.00
Positions (direct):
1 Mo 0.000 0.000 0.000
2 P 0.000 0.000 0.346
3 P 0.500 0.500 0.198
4 Se 0.500 0.500 0.786

=====

Below is a geometry-optimized MoPSe2 structure, with properties calculated at the PBE level.

Properties
**Uncorrected energy**: -5.198 eV/atom

Unit cell a=4.981 b=4.981 c=3.440 alpha=90.00 beta=90.00 gamma=121.18
Positions (direct):
1 Mo 0.000 0.000 0.000
2 P 0.500 0.500 0.000
3 Se 0.000 0.500 0.500
4 Se 0.500 0.000 0.500

=====

Below is a geometry-optimized MoPSe2 structure, with properties calculated at the PBE level.

Properties
**Uncorrected energy**: -5.245 eV/atom

Unit cell a=2.890 b=2.890 c=9.803 alpha=90.00 beta=90.00 gamma=114.79
Positions (direct):
1 Mo 0.000 0.000 0.000
2 P 0.000 0.000 0.500
3 Se 0.500 0.500 0.213
4 Se 0.500 0.500 0.787

=====

Q: Which formula does entry 7 have?
A: MoPSe2